Entry 1:
The following is a DFT calculation (PBE) of a geometry-optimized MnCrAsIr structure.

The structure in POSCAR format:
```
MnCrAsIr
1.0
-3.9094 -1.4699 0.7790
-1.0332 -3.9727 -1.0957
-0.6034 -2.9434 3.0039
Ir Mn As Cr
1 1 1 1
Direct
0.7500 0.7500 0.7500
0.5000 0.5000 0.5000
0.0000 0.0000 0.0000
0.2500 0.2500 0.2500
```

Values from the calculation:
ΔH_f (0 K) ... -5.4 meV/atom
Volume ... 54.2 Å³ per cell
ρ ... 11.454 Mg/m³

---

Entry 2:
The following is a DFT calculation (PBE) of a geometry-optimized Cu2ReCl structure.

The structure in POSCAR format:
```
Cu2ReCl
1.0
2.7867 0.0000 0.0000
0.0000 2.7867 0.0000
0.0000 0.0000 7.5295
Cu Re Cl
2 1 1
Direct
0.0000 0.0000 0.0094
0.0000 0.0000 0.4906
0.5000 0.5000 0.2500
0.5000 0.5000 0.7500
```

Values from the calculation:
ΔE_f (raw) ... 448 meV/atom
Distance to the lowest polymorph of the same formula ... 0.112 eV/atom
Volume ... 58.5 Å³ per cell
ρ ... 9.904 Mg/m³

---

Entry 3:
The following is a DFT calculation (PBE) of a geometry-optimized BSb2RhI structure.

The structure in POSCAR format:
```
BSb2RhI
1.0
4.7267 0.0000 0.0000
0.0000 4.7267 0.0000
0.0000 0.0000 4.8122
B I Rh Sb
1 1 1 2
Direct
0.0000 0.0000 0.0000
0.0000 0.0000 0.5000
0.5000 0.5000 0.5000
0.0000 0.5000 0.0000
0.5000 0.0000 0.0000
```

Values from the calculation:
ΔE_f (raw) ... 1035 meV/atom
Distance to the lowest polymorph of the same formula ... 0.000 eV/atom
Volume ... 107.5 Å³ per cell
ρ ... 7.477 Mg/m³

---

Entry 4:
The following is a DFT calculation (PBE) of a geometry-optimized LaPu2Ag6 structure.

The structure in POSCAR format:
```
LaPu2Ag6
1.0
-2.8849 0.9098 0.9241
0.6317 -5.0550 6.9487
2.6942 8.1760 0.3612
Pu Ag La
2 6 1
Direct
0.0000 0.3333 0.6667
0.0000 0.6667 0.3333
0.5000 0.3358 0.3358
0.5000 0.6642 0.0000
0.5000 0.0000 0.3358
0.5000 0.0000 0.6642
0.5000 0.6642 0.6642
0.5000 0.3358 0.0000
0.0000 0.0000 0.0000
```

Values from the calculation:
ΔH_f (0 K) ... -93.6 meV/atom
Volume ... 203.4 Å³ per cell
ρ ... 10.404 Mg/m³

---

Entry 5:
The following is a DFT calculation (PBE) of a geometry-optimized CuWSe2 structure.

The structure in POSCAR format:
```
CuWSe2
1.0
-0.1632 0.4492 3.1842
-2.5754 -1.9276 0.1399
4.5760 -6.0350 1.0860
W Se Cu
1 2 1
Direct
0.0000 0.0000 0.5371
0.0000 0.0000 0.8721
0.5000 0.5000 0.3483
0.5000 0.5000 0.7426
```

Values from the calculation:
ΔE_f (raw) ... 114 meV/atom
Distance to the lowest polymorph of the same formula ... 0.266 eV/atom
Volume ... 79.3 Å³ per cell
ρ ... 8.484 Mg/m³

---

Entry 6:
The following is a DFT calculation (PBE) of a geometry-optimized NbCu2BOs structure.

The structure in POSCAR format:
```
NbCu2BOs
1.0
4.5948 0.0000 0.0000
0.0000 3.9023 0.0000
0.0000 0.0000 4.5948
Cu B Os Nb
2 1 1 1
Direct
0.5000 0.0000 0.0000
0.0000 0.0000 0.5000
0.0000 0.5000 0.0000
0.0000 0.0000 0.0000
0.5000 0.5000 0.5000
```

Values from the calculation:
ΔH_f (0 K) ... 1193.7 meV/atom
Volume ... 82.4 Å³ per cell
ρ ... 8.486 Mg/m³

---

Entry 7:
The following is a DFT calculation (PBE) of a geometry-optimized CaPm2Bi structure.

The structure in POSCAR format:
```
CaPm2Bi
1.0
4.3491 0.0000 0.0000
0.0000 4.3491 0.0000
0.0000 0.0000 6.9031
Bi Pm Ca
1 2 1
Direct
0.5000 0.5000 0.0000
0.0000 0.0000 0.7650
0.0000 0.0000 0.2350
0.5000 0.5000 0.5000
```

Values from the calculation:
Distance to the lowest polymorph of the same formula ... 0.083 eV/atom
ΔH_f (0 K) ... -389.1 meV/atom
Volume ... 130.6 Å³ per cell
ρ ... 6.856 Mg/m³

---

Entry 8:
The following is a DFT calculation (PBE) of a geometry-optimized Tm4GaTe2As structure.

The structure in POSCAR format:
```
Tm4GaTe2As
1.0
-0.5623 -3.6994 1.7108
2.5935 -3.1864 -6.0376
5.6693 1.2715 4.6130
Tm Te As Ga
4 2 1 1
Direct
0.5000 0.2431 0.2174
0.0000 0.2604 0.7765
0.0000 0.7396 0.2235
0.5000 0.7569 0.7826
0.0000 0.5000 0.5000
0.5000 0.0000 0.5000
0.0000 0.0000 0.0000
0.5000 0.5000 0.0000
```

Values from the calculation:
ΔE_f (raw) ... -1166 meV/atom
Volume ... 211.4 Å³ per cell
ρ ... 8.449 Mg/m³

---

Entry 9:
The following is a DFT calculation (PBE) of a geometry-optimized Tb3Ga4Ag4 structure.

The structure in POSCAR format:
```
Tb3Ga4Ag4
1.0
4.5864 0.0000 0.0000
0.0000 3.5603 0.0000
-2.2932 -1.7802 13.9716
Tb Ag Ga
3 4 4
Direct
0.0000 0.0000 0.0000
0.3571 0.8571 0.7143
0.6429 0.1429 0.2857
0.0927 0.5927 0.1855
0.2610 0.2610 0.5219
0.9073 0.4073 0.8145
0.7390 0.7390 0.4781
0.4534 0.4534 0.9069
0.1865 0.6865 0.3730
0.5466 0.5466 0.0931
0.8135 0.3135 0.6270
```

Values from the calculation:
ΔH_f (0 K) ... -435.6 meV/atom
Volume ... 228.1 Å³ per cell
ρ ... 8.641 Mg/m³

---

Entry 10:
The following is a DFT calculation (PBE) of a geometry-optimized Cs6SrO4 structure.

The structure in POSCAR format:
```
Cs6SrO4
1.0
-4.2650 3.0054 5.0131
-5.3597 4.5776 -7.3042
-2.6942 -9.2333 3.2433
O Cs Sr
8 12 2
Direct
0.8380 0.1999 0.3998
0.8380 0.6002 0.8001
0.3380 0.3998 0.1999
0.3969 0.3333 0.6667
0.8380 0.1999 0.8001
0.3380 0.8001 0.6002
0.8969 0.6667 0.3333
0.3380 0.8001 0.1999
0.4805 0.1363 0.2726
0.1379 0.0836 0.5418
0.4805 0.1363 0.8637
0.9805 0.8637 0.1363
0.9805 0.2726 0.1363
0.1379 0.4582 0.9164
0.6379 0.9164 0.4582
0.9805 0.8637 0.7274
0.6379 0.5418 0.0836
0.4805 0.7274 0.8637
0.6379 0.5418 0.4582
0.1379 0.4582 0.5418
0.2260 0.6667 0.3333
0.7260 0.3333 0.6667
```

Values from the calculation:
ΔE_f (raw) ... -1228 meV/atom
Volume ... 645.6 Å³ per cell
ρ ... 4.882 Mg/m³

---

Entry 11:
The following is a DFT calculation (PBE) of a geometry-optimized Ce2PmCd structure.

The structure in POSCAR format:
```
Ce2PmCd
1.0
-4.7284 -2.0097 -1.9450
-2.6603 -3.9289 2.7688
-4.7293 1.1553 2.5453
Pm Cd Ce
1 1 2
Direct
0.5000 0.5000 0.5000
0.0000 0.0000 0.0000
0.7500 0.7500 0.7500
0.2500 0.2500 0.2500
```

Values from the calculation:
Distance to the lowest polymorph of the same formula ... 0.118 eV/atom
ΔH_f (0 K) ... 100.3 meV/atom
Volume ... 117.2 Å³ per cell
ρ ... 7.615 Mg/m³

---

Entry 12:
The following is a DFT calculation (PBE) of a geometry-optimized W3C2 structure.

The structure in POSCAR format:
```
W3C2
1.0
1.5198 -2.6324 0.0000
1.5198 2.6324 0.0000
0.0000 0.0000 7.3905
C W
2 3
Direct
0.3333 0.6667 0.8222
0.6667 0.3333 0.1778
0.6667 0.3333 0.6589
0.0000 0.0000 0.0000
0.3333 0.6667 0.3411
```

Values from the calculation:
Distance to the lowest polymorph of the same formula ... 0.069 eV/atom
ΔH_f (0 K) ... 155.1 meV/atom
Volume ... 59.1 Å³ per cell
ρ ... 16.162 Mg/m³